# LuHfFeSi | OQMD | PBE-GGA | optimized geometry
data_LuHfFeSi
_chemical_formula_sum 'Lu4 Hf4 Fe4 Si4'
_cell_length_a 6.432
_cell_length_b 6.432
_cell_length_c 6.432
_cell_angle_alpha 90.00
_cell_angle_beta 90.00
_cell_angle_gamma 90.00
_space_group_name_H-M_alt 'F -4 3 m'
_space_group_IT_number 216
_space_group_name_Hall 'F -4 2 3'
loop_
_atom_site_label
_atom_site_type_symbol
_atom_site_fract_x
_atom_site_fract_y
_atom_site_fract_z
Lu1 Lu 0.000 0.000 0.000
Hf1 Hf 0.250 0.250 0.750
Fe1 Fe 0.000 0.000 0.500
Si1 Si 0.250 0.250 0.250
# Energy relative to the lowest polymorph listed for this composition in eV per formula unit: 0.00
# Total moment in μB per formula unit: 0.73
# Crystal system: cubic
# DFT total energy in eV/cell: -111.60

***

# LuHfFeSn | OQMD | PBE-GGA | optimized geometry
data_LuHfFeSn
_chemical_formula_sum 'Lu4 Hf4 Fe4 Sn4'
_cell_length_a 6.734
_cell_length_b 6.734
_cell_length_c 6.734
_cell_angle_alpha 90.00
_cell_angle_beta 90.00
_cell_angle_gamma 90.00
_space_group_name_H-M_alt 'F -4 3 m'
_space_group_IT_number 216
_space_group_name_Hall 'F -4 2 3'
loop_
_atom_site_label
_atom_site_type_symbol
_atom_site_fract_x
_atom_site_fract_y
_atom_site_fract_z
Lu1 Lu 0.000 0.000 0.000
Hf1 Hf 0.250 0.250 0.750
Fe1 Fe 0.000 0.000 0.500
Sn1 Sn 0.250 0.250 0.250
# Energy relative to the lowest polymorph listed for this composition in eV per formula unit: 0.00
# Total moment in μB per formula unit: 0.99
# Crystal system: cubic
# DFT total energy in eV/cell: -105.36

***

# LuHfTlFe | OQMD | PBE-GGA | optimized geometry
data_LuHfTlFe
_chemical_formula_sum 'Lu4 Hf4 Tl4 Fe4'
_cell_length_a 6.744
_cell_length_b 6.744
_cell_length_c 6.744
_cell_angle_alpha 90.00
_cell_angle_beta 90.00
_cell_angle_gamma 90.00
_space_group_name_H-M_alt 'F -4 3 m'
_space_group_IT_number 216
_space_group_name_Hall 'F -4 2 3'
loop_
_atom_site_label
_atom_site_type_symbol
_atom_site_fract_x
_atom_site_fract_y
_atom_site_fract_z
Lu1 Lu 0.000 0.000 0.000
Hf1 Hf 0.250 0.250 0.750
Tl1 Tl 0.250 0.250 0.250
Fe1 Fe 0.000 0.000 0.500
# Energy relative to the lowest polymorph listed for this composition in eV per formula unit: 0.00
# Total moment in μB per formula unit: 0.00
# Crystal system: cubic
# DFT total energy in eV/cell: -96.54

***

# LuHfZnFe | OQMD | PBE-GGA | optimized geometry
data_LuHfZnFe
_chemical_formula_sum 'Lu4 Hf4 Zn4 Fe4'
_cell_length_a 6.511
_cell_length_b 6.511
_cell_length_c 6.511
_cell_angle_alpha 90.00
_cell_angle_beta 90.00
_cell_angle_gamma 90.00
_space_group_name_H-M_alt 'F -4 3 m'
_space_group_IT_number 216
_space_group_name_Hall 'F -4 2 3'
loop_
_atom_site_label
_atom_site_type_symbol
_atom_site_fract_x
_atom_site_fract_y
_atom_site_fract_z
Lu1 Lu 0.000 0.000 0.000
Hf1 Hf 0.250 0.250 0.750
Zn1 Zn 0.250 0.250 0.250
Fe1 Fe 0.000 0.000 0.500
# E_form in eV per atom: 0.147
# Energy relative to the lowest polymorph listed for this composition in eV per formula unit: 0.00
# Total moment in μB per formula unit: 0.86
# Crystal system: cubic
# DFT total energy in eV/cell: -93.86

***

# HfMgFe2 | OQMD | PBE-GGA | optimized geometry
data_HfMgFe2
_chemical_formula_sum 'Hf4 Mg4 Fe8'
_cell_length_a 6.276
_cell_length_b 6.276
_cell_length_c 6.276
_cell_angle_alpha 90.00
_cell_angle_beta 90.00
_cell_angle_gamma 90.00
_space_group_name_H-M_alt 'F -4 3 m'
_space_group_IT_number 216
_space_group_name_Hall 'F -4 2 3'
loop_
_atom_site_label
_atom_site_type_symbol
_atom_site_fract_x
_atom_site_fract_y
_atom_site_fract_z
Hf1 Hf 0.000 0.000 0.000
Mg1 Mg 0.250 0.250 0.750
Fe1 Fe 0.000 0.000 0.500
Fe2 Fe 0.250 0.250 0.250
# Total moment in μB per formula unit: 4.02
# Crystal system: cubic
# DFT total energy in eV/cell: -108.69

***

# Hf2MgFe | OQMD | PBE-GGA | optimized geometry
data_Hf2MgFe
_chemical_formula_sum 'Hf8 Mg4 Fe4'
_cell_length_a 6.535
_cell_length_b 6.535
_cell_length_c 6.535
_cell_angle_alpha 90.00
_cell_angle_beta 90.00
_cell_angle_gamma 90.00
_space_group_name_H-M_alt 'F -4 3 m'
_space_group_IT_number 216
_space_group_name_Hall 'F -4 2 3'
loop_
_atom_site_label
_atom_site_type_symbol
_atom_site_fract_x
_atom_site_fract_y
_atom_site_fract_z
Hf1 Hf 0.000 0.000 0.000
Hf2 Hf 0.250 0.250 0.250
Mg1 Mg 0.000 0.000 0.500
Fe1 Fe 0.250 0.250 0.750
# Total moment in μB per formula unit: 0.02
# Crystal system: cubic
# DFT total energy in eV/cell: -113.80

***

# HfMgZnFe | OQMD | PBE-GGA | optimized geometry
data_HfMgZnFe
_chemical_formula_sum 'Hf4 Mg4 Zn4 Fe4'
_cell_length_a 6.367
_cell_length_b 6.367
_cell_length_c 6.367
_cell_angle_alpha 90.00
_cell_angle_beta 90.00
_cell_angle_gamma 90.00
_space_group_name_H-M_alt 'F -4 3 m'
_space_group_IT_number 216
_space_group_name_Hall 'F -4 2 3'
loop_
_atom_site_label
_atom_site_type_symbol
_atom_site_fract_x
_atom_site_fract_y
_atom_site_fract_z
Hf1 Hf 0.000 0.000 0.000
Mg1 Mg 0.250 0.250 0.250
Zn1 Zn 0.000 0.000 0.500
Fe1 Fe 0.250 0.250 0.750
# Energy relative to the lowest polymorph listed for this composition in eV per formula unit: 0.00
# Total moment in μB per formula unit: 1.80
# Crystal system: cubic
# DFT total energy in eV/cell: -81.96

***

# HfMgZnFe | OQMD | PBE-GGA | optimized geometry
data_HfMgZnFe
_chemical_formula_sum 'Hf4 Mg4 Zn4 Fe4'
_cell_length_a 6.385
_cell_length_b 6.385
_cell_length_c 6.385
_cell_angle_alpha 90.00
_cell_angle_beta 90.00
_cell_angle_gamma 90.00
_space_group_name_H-M_alt 'F -4 3 m'
_space_group_IT_number 216
_space_group_name_Hall 'F -4 2 3'
loop_
_atom_site_label
_atom_site_type_symbol
_atom_site_fract_x
_atom_site_fract_y
_atom_site_fract_z
Hf1 Hf 0.000 0.000 0.000
Mg1 Mg 0.250 0.250 0.750
Zn1 Zn 0.250 0.250 0.250
Fe1 Fe 0.000 0.000 0.500
# Energy relative to the lowest polymorph listed for this composition in eV per formula unit: 0.22
# Total moment in μB per formula unit: 2.08
# Crystal system: cubic
# DFT total energy in eV/cell: -81.08